Here is crystalline Pa3CoRh at its relaxed geometry from Alexandria. Energies are from PBE.

E_form in eV per atom: -0.36
Electronic total energy in eV/atom: -8.95
SG: No. 14
N(E_F) in states/eV per cell: 33.2
Calculated volume in Å³/cell: 421

Unit cell a=8.6005 b=6.9083 c=7.3561 alpha=90.00 beta=105.46 gamma=90.00
Element x y z (fractional)
Pa 0.0512 0.0053 0.1954
Pa 0.0512 0.4947 0.6954
Pa 0.2908 0.7032 0.1258
Pa 0.2908 0.7968 0.6258
Pa 0.3714 0.1776 0.9824
Pa 0.3714 0.3224 0.4824
Pa 0.6286 0.6776 0.5177
Pa 0.6286 0.8224 0.0176
Pa 0.7092 0.2032 0.3742
Pa 0.7092 0.2968 0.8742
Pa 0.9488 0.5053 0.3046
Pa 0.9488 0.9947 0.8046
Co 0.4263 0.5105 0.8213
Co 0.4263 0.9895 0.3213
Co 0.5737 0.0105 0.6787
Co 0.5737 0.4895 0.1787
Rh 0.1122 0.1492 0.5597
Rh 0.1122 0.3508 0.0597
Rh 0.8878 0.6492 0.9403
Rh 0.8878 0.8508 0.4403

Here is crystalline Pa4CoRh3 at its relaxed geometry from Alexandria. Energies are from PBE.

E_form in eV per atom: -0.62
Electronic total energy in eV/atom: -9.02
SG: No. 25
N(E_F) in states/eV per cell: 10.6
Calculated volume in Å³/cell: 166

Unit cell a=3.7520 b=4.0624 c=10.8988 alpha=90.00 beta=90.00 gamma=90.00
Element x y z (fractional)
Pa 0.0000 0.0000 0.0000
Pa 0.0000 0.5000 0.2679
Pa 0.5000 0.0000 0.4810
Pa 0.5000 0.5000 0.7676
Co 0.5000 0.0000 0.2323
Rh 0.0000 0.0000 0.7323
Rh 0.0000 0.5000 0.5320
Rh 0.5000 0.5000 0.0378

Here is crystalline PaCo4Rh at its relaxed geometry from Alexandria. Energies are from PBE.

E_form in eV per atom: -0.21
Electronic total energy in eV/atom: -7.75
SG: No. 216
N(E_F) in states/eV per cell: 9.8
Calculated volume in Å³/cell: 83

Unit cell a=4.8944 b=4.8944 c=4.8944 alpha=60.00 beta=60.00 gamma=60.00
Element x y z (fractional)
Pa 0.0000 0.0000 0.0000
Co 0.1295 0.6235 0.6235
Co 0.6235 0.1295 0.6235
Co 0.6235 0.6235 0.1295
Co 0.6235 0.6235 0.6235
Rh 0.2500 0.2500 0.2500

Here is crystalline Pa2Co2Rh at its relaxed geometry from Alexandria. Energies are from PBE.

Offset from the most stable computed form in eV per atom: 0.039
E_form in eV per atom: -0.52
Electronic total energy in eV/atom: -8.64
SG: No. 71
N(E_F) in states/eV per cell: 3.7
Calculated volume in Å³/cell: 87

Unit cell a=5.1109 b=5.1109 c=5.1109 alpha=134.34 beta=105.55 gamma=91.90
Element x y z (fractional)
Pa 0.2230 0.2230 0.0000
Pa 0.7770 0.7770 0.0000
Co 0.1980 0.5000 0.6980
Co 0.8020 0.5000 0.3020
Rh 0.5000 0.0000 0.5000

Here is crystalline Pa2Co2Rh at its relaxed geometry from Alexandria. Energies are from PBE.

Offset from the most stable computed form in eV per atom: 0.000
E_form in eV per atom: -0.56
Electronic total energy in eV/atom: -8.67
SG: No. 127
N(E_F) in states/eV per cell: 10.8
Calculated volume in Å³/cell: 173

Unit cell a=7.0941 b=7.0941 c=3.4349 alpha=90.00 beta=90.00 gamma=90.00
Element x y z (fractional)
Pa 0.1794 0.3206 0.0000
Pa 0.3206 0.8206 0.0000
Pa 0.6794 0.1794 0.0000
Pa 0.8206 0.6794 0.0000
Co 0.1287 0.6287 0.5000
Co 0.3713 0.1287 0.5000
Co 0.6287 0.8713 0.5000
Co 0.8713 0.3713 0.5000
Rh 0.0000 0.0000 0.5000
Rh 0.5000 0.5000 0.5000

Here is crystalline PaCoRuRh at its relaxed geometry from Alexandria. Energies are from PBE.

E_form in eV per atom: -0.51
Electronic total energy in eV/atom: -8.82
SG: No. 47
N(E_F) in states/eV per cell: 4.5
Calculated volume in Å³/cell: 63

Unit cell a=3.9543 b=3.9551 c=4.0340 alpha=90.00 beta=90.00 gamma=90.00
Element x y z (fractional)
Pa 0.0000 0.0000 0.0000
Co 0.5000 0.0000 0.5000
Ru 0.5000 0.5000 0.0000
Rh 0.0000 0.5000 0.5000

Here is crystalline PaCoSi2Rh2 at its relaxed geometry from Alexandria. Energies are from PBE.

Formation energy from raw total energies in eV/atom: -0.47
Electronic total energy in eV/atom: -7.49
SG: No. 123
N(E_F) in states/eV per cell: 3.8
Calculated volume in Å³/cell: 97

Unit cell a=4.2921 b=4.2921 c=5.2917 alpha=90.00 beta=90.00 gamma=90.00
Element x y z (fractional)
Pa 0.0000 0.0000 0.0000
Co 0.0000 0.0000 0.5000
Si 0.0000 0.5000 0.5000
Si 0.5000 0.0000 0.5000
Rh 0.5000 0.5000 0.2429
Rh 0.5000 0.5000 0.7571

Here is crystalline Pa2Co3Si4Rh at its relaxed geometry from Alexandria. Energies are from PBE.

Formation energy from raw total energies in eV/atom: -0.85
Electronic total energy in eV/atom: -7.79
SG: No. 115
N(E_F) in states/eV per cell: 5.7
Calculated volume in Å³/cell: 151

Unit cell a=3.9582 b=3.9582 c=9.6062 alpha=90.00 beta=90.00 gamma=90.00
Element x y z (fractional)
Pa 0.0000 0.5000 0.2442
Pa 0.5000 0.0000 0.7558
Co 0.0000 0.5000 0.8747
Co 0.5000 0.0000 0.1253
Co 0.5000 0.5000 0.5000
Si 0.0000 0.0000 0.0000
Si 0.0000 0.5000 0.6376
Si 0.5000 0.0000 0.3624
Si 0.5000 0.5000 0.0000
Rh 0.0000 0.0000 0.5000

Here is crystalline Pa2Co4Si3Rh at its relaxed geometry from Alexandria. Energies are from PBE.

Formation energy from raw total energies in eV/atom: -0.69
Electronic total energy in eV/atom: -7.80
SG: No. 115
N(E_F) in states/eV per cell: 9.2
Calculated volume in Å³/cell: 148

Unit cell a=3.7232 b=3.7232 c=10.6784 alpha=90.00 beta=90.00 gamma=90.00
Element x y z (fractional)
Pa 0.0000 0.5000 0.2439
Pa 0.5000 0.0000 0.7561
Co 0.0000 0.0000 0.5000
Co 0.0000 0.5000 0.8306
Co 0.5000 0.0000 0.1694
Co 0.5000 0.5000 0.5000
Si 0.0000 0.0000 0.0000
Si 0.0000 0.5000 0.6170
Si 0.5000 0.0000 0.3830
Rh 0.5000 0.5000 0.0000

Here is crystalline PaCo2Si2Rh at its relaxed geometry from Alexandria. Energies are from PBE.

Formation energy from raw total energies in eV/atom: 0.08
Electronic total energy in eV/atom: -6.90
SG: No. 123
N(E_F) in states/eV per cell: 7.1
Calculated volume in Å³/cell: 103

Unit cell a=4.5046 b=4.5046 c=5.0821 alpha=90.00 beta=90.00 gamma=90.00
Element x y z (fractional)
Pa 0.0000 0.0000 0.0000
Co 0.5000 0.5000 0.2480
Co 0.5000 0.5000 0.7520
Si 0.0000 0.5000 0.5000
Si 0.5000 0.0000 0.5000
Rh 0.0000 0.0000 0.5000

Here is crystalline PaCoSnRh at its relaxed geometry from Alexandria. Energies are from PBE.

E_form in eV per atom: -0.40
Electronic total energy in eV/atom: -7.39
SG: No. 216
N(E_F) in states/eV per cell: 6.5
Calculated volume in Å³/cell: 74

Unit cell a=4.7046 b=4.7046 c=4.7046 alpha=60.00 beta=60.00 gamma=60.00
Element x y z (fractional)
Pa 0.0000 0.0000 0.0000
Co 0.2500 0.2500 0.2500
Sn 0.5000 0.5000 0.5000
Rh 0.7500 0.7500 0.7500

Here is crystalline TmPaCoRh at its relaxed geometry from Alexandria. Energies are from PBE.

Offset from the most stable computed form in eV per atom: 0.192
E_form in eV per atom: -0.42
Electronic total energy in eV/atom: -7.53
SG: No. 216
N(E_F) in states/eV per cell: 6.0
Calculated volume in Å³/cell: 77

Unit cell a=4.7763 b=4.7763 c=4.7763 alpha=60.00 beta=60.00 gamma=60.00
Element x y z (fractional)
Tm 0.0000 0.0000 0.0000
Pa 0.5000 0.5000 0.5000
Co 0.7500 0.7500 0.7500
Rh 0.2500 0.2500 0.2500

Here is crystalline TmPaCoRh at its relaxed geometry from Alexandria. Energies are from PBE.

Offset from the most stable computed form in eV per atom: 0.000
E_form in eV per atom: -0.61
Electronic total energy in eV/atom: -7.72
SG: No. 38
N(E_F) in states/eV per cell: 3.1
Calculated volume in Å³/cell: 79

Unit cell a=3.8939 b=5.8327 c=5.8327 alpha=36.42 beta=90.00 gamma=90.00
Element x y z (fractional)
Tm 0.0000 0.0000 0.0000
Pa 0.5000 0.7253 0.7253
Co 0.0000 0.2532 0.2532
Rh 0.5000 0.4310 0.4310

Here is crystalline YPaCoRh at its relaxed geometry from Alexandria. Energies are from PBE.

Offset from the most stable computed form in eV per atom: 0.000
E_form in eV per atom: -0.56
Electronic total energy in eV/atom: -8.16
SG: No. 38
N(E_F) in states/eV per cell: 3.1
Calculated volume in Å³/cell: 81

Unit cell a=3.8966 b=5.9957 c=5.9957 alpha=35.56 beta=90.00 gamma=90.00
Element x y z (fractional)
Y 0.0000 0.0000 0.0000
Pa 0.5000 0.2729 0.2729
Co 0.0000 0.7506 0.7506
Rh 0.5000 0.5812 0.5812

Here is crystalline YPaCoRh at its relaxed geometry from Alexandria. Energies are from PBE.

Offset from the most stable computed form in eV per atom: 0.205
E_form in eV per atom: -0.35
Electronic total energy in eV/atom: -7.96
SG: No. 216
N(E_F) in states/eV per cell: 6.5
Calculated volume in Å³/cell: 79

Unit cell a=4.8083 b=4.8083 c=4.8083 alpha=60.00 beta=60.00 gamma=60.00
Element x y z (fractional)
Y 0.0000 0.0000 0.0000
Pa 0.5000 0.5000 0.5000
Co 0.2500 0.2500 0.2500
Rh 0.7500 0.7500 0.7500

Here is crystalline PaZnCoRh at its relaxed geometry from Alexandria. Energies are from PBE.

E_form in eV per atom: -0.37
Electronic total energy in eV/atom: -6.68
SG: No. 216
N(E_F) in states/eV per cell: 5.1
Calculated volume in Å³/cell: 67

Unit cell a=4.5530 b=4.5530 c=4.5530 alpha=60.00 beta=60.00 gamma=60.00
Element x y z (fractional)
Pa 0.0000 0.0000 0.0000
Zn 0.5000 0.5000 0.5000
Co 0.2500 0.2500 0.2500
Rh 0.7500 0.7500 0.7500

Here is crystalline PaCoRu at its relaxed geometry from Alexandria. Energies are from PBE.

Offset from the most stable computed form in eV per atom: 0.399
E_form in eV per atom: 0.00
Electronic total energy in eV/atom: -8.62
SG: No. 139
N(E_F) in states/eV per cell: 6.3
Calculated volume in Å³/cell: 107

Unit cell a=9.6505 b=9.6505 c=9.6505 alpha=159.77 beta=159.77 gamma=28.77
Element x y z (fractional)
Pa 0.1383 0.1383 0.0000
Pa 0.8617 0.8617 0.0000
Co 0.2826 0.2826 0.0000
Co 0.7174 0.7174 0.0000
Ru 0.4288 0.4288 0.0000
Ru 0.5712 0.5712 0.0000

Here is crystalline PaCo2Ru at its relaxed geometry from Alexandria. Energies are from PBE.

Offset from the most stable computed form in eV per atom: 0.251
E_form in eV per atom: -0.08
Electronic total energy in eV/atom: -8.32
SG: No. 166
N(E_F) in states/eV per cell: 6.6
Calculated volume in Å³/cell: 60

Unit cell a=4.4942 b=4.4942 c=4.4942 alpha=57.35 beta=57.35 gamma=57.35
Element x y z (fractional)
Pa 0.0000 0.0000 0.0000
Co 0.2748 0.2748 0.2748
Co 0.7252 0.7252 0.7252
Ru 0.5000 0.5000 0.5000

Here is crystalline Pa2Co3Ru at its relaxed geometry from Alexandria. Energies are from PBE.

E_form in eV per atom: -0.38
Electronic total energy in eV/atom: -8.64
SG: No. 166
N(E_F) in states/eV per cell: 6.8
Calculated volume in Å³/cell: 92

Unit cell a=5.1374 b=5.1374 c=5.1374 alpha=58.05 beta=58.05 gamma=58.05
Element x y z (fractional)
Pa 0.1239 0.1239 0.1239
Pa 0.8761 0.8761 0.8761
Co 0.0000 0.5000 0.5000
Co 0.5000 0.0000 0.5000
Co 0.5000 0.5000 0.0000
Ru 0.5000 0.5000 0.5000

Here is crystalline PaCoRu at its relaxed geometry from Alexandria. Energies are from PBE.

Offset from the most stable computed form in eV per atom: 0.157
E_form in eV per atom: -0.24
Electronic total energy in eV/atom: -8.86
SG: No. 63
N(E_F) in states/eV per cell: 5.1
Calculated volume in Å³/cell: 100

Unit cell a=6.5414 b=6.5414 c=4.1193 alpha=90.00 beta=90.00 gamma=145.46
Element x y z (fractional)
Pa 0.1011 0.8989 0.7500
Pa 0.8989 0.1011 0.2500
Co 0.4174 0.5826 0.7500
Co 0.5826 0.4174 0.2500
Ru 0.2463 0.7537 0.2500
Ru 0.7537 0.2463 0.7500

Here is crystalline PaCo2Ru at its relaxed geometry from Alexandria. Energies are from PBE.

Offset from the most stable computed form in eV per atom: 0.000
E_form in eV per atom: -0.33
Electronic total energy in eV/atom: -8.57
SG: No. 123
N(E_F) in states/eV per cell: 4.6
Calculated volume in Å³/cell: 59

Unit cell a=3.9025 b=3.9025 c=3.8787 alpha=90.00 beta=90.00 gamma=90.00
Element x y z (fractional)
Pa 0.0000 0.0000 0.0000
Co 0.0000 0.5000 0.5000
Co 0.5000 0.0000 0.5000
Ru 0.5000 0.5000 0.0000

Here is crystalline PaCoRu at its relaxed geometry from Alexandria. Energies are from PBE.

Offset from the most stable computed form in eV per atom: 0.194
E_form in eV per atom: -0.20
Electronic total energy in eV/atom: -8.83
SG: No. 107
N(E_F) in states/eV per cell: 2.9
Calculated volume in Å³/cell: 51

Unit cell a=4.6499 b=4.6499 c=4.6499 alpha=134.31 beta=134.31 gamma=66.60
Element x y z (fractional)
Pa 0.0000 0.0000 0.0000
Co 0.3143 0.3143 0.0000
Ru 0.6820 0.6820 0.0000

Here is crystalline Pa2Co2Ru at its relaxed geometry from Alexandria. Energies are from PBE.

E_form in eV per atom: -0.44
Electronic total energy in eV/atom: -8.93
SG: No. 127
N(E_F) in states/eV per cell: 9.3
Calculated volume in Å³/cell: 171

Unit cell a=7.0911 b=7.0911 c=3.4018 alpha=90.00 beta=90.00 gamma=90.00
Element x y z (fractional)
Pa 0.1832 0.3168 0.0000
Pa 0.3168 0.8168 0.0000
Pa 0.6832 0.1832 0.0000
Pa 0.8168 0.6832 0.0000
Co 0.1256 0.6256 0.5000
Co 0.3744 0.1256 0.5000
Co 0.6256 0.8744 0.5000
Co 0.8744 0.3744 0.5000
Ru 0.0000 0.0000 0.5000
Ru 0.5000 0.5000 0.5000

Here is crystalline Pa6Co5Ru at its relaxed geometry from Alexandria. Energies are from PBE.

E_form in eV per atom: -0.09
Electronic total energy in eV/atom: -8.57
SG: No. 193
N(E_F) in states/eV per cell: 31.0
Calculated volume in Å³/cell: 491

Unit cell a=6.5989 b=6.5989 c=13.0302 alpha=90.00 beta=90.00 gamma=120.00
Element x y z (fractional)
Pa 0.0000 0.3355 0.1173
Pa 0.0000 0.3355 0.3827
Pa 0.0000 0.6645 0.6173
Pa 0.0000 0.6645 0.8827
Pa 0.3355 0.0000 0.1173
Pa 0.3355 0.0000 0.3827
Pa 0.3355 0.3355 0.6173
Pa 0.3355 0.3355 0.8827
Pa 0.6645 0.0000 0.6173
Pa 0.6645 0.0000 0.8827
Pa 0.6645 0.6645 0.1173
Pa 0.6645 0.6645 0.3827
Co 0.0000 0.3936 0.7500
Co 0.0000 0.6064 0.2500
Co 0.3333 0.6667 0.0000
Co 0.3333 0.6667 0.5000
Co 0.3936 0.0000 0.7500
Co 0.3936 0.3936 0.2500
Co 0.6064 0.0000 0.2500
Co 0.6064 0.6064 0.7500
Co 0.6667 0.3333 0.0000
Co 0.6667 0.3333 0.5000
Ru 0.0000 0.0000 0.2500
Ru 0.0000 0.0000 0.7500

Here is crystalline PaCoRu at its relaxed geometry from Alexandria. Energies are from PBE.

Offset from the most stable computed form in eV per atom: 0.000
E_form in eV per atom: -0.39
Electronic total energy in eV/atom: -9.02
SG: No. 63
N(E_F) in states/eV per cell: 3.6
Calculated volume in Å³/cell: 99

Unit cell a=6.7779 b=6.7779 c=3.9031 alpha=90.00 beta=90.00 gamma=146.55
Element x y z (fractional)
Pa 0.1097 0.8903 0.7500
Pa 0.8903 0.1097 0.2500
Co 0.2496 0.7504 0.2500
Co 0.7504 0.2496 0.7500
Ru 0.4090 0.5910 0.7500
Ru 0.5910 0.4090 0.2500